Entry 1:
# Ta2CdRe

Crystalline Ta2CdRe at its relaxed geometry (GGA-PBE, OQMD via LeMat-Bulk).

Unit cell a=4.626 b=4.626 c=4.626 alpha=60.00 beta=60.00 gamma=60.00
Fractional coordinates of all 4 atoms:
Re1 0.750 0.750 0.750
Cd1 0.500 0.500 0.500
Ta1 0.000 0.000 0.000
Ta2 0.250 0.250 0.250

Summary:
* total magnetization: 0.52 μB per formula unit
* space-group type: F-43m, No. 216
* ΔE_f: 402 meV per atom

Entry 2:
# Cd2ReTc

Crystalline Cd2ReTc at its relaxed geometry (GGA-PBE, OQMD via LeMat-Bulk).

Unit cell a=4.575 b=4.575 c=4.575 alpha=60.00 beta=60.00 gamma=60.00
Fractional coordinates of all 4 atoms:
Tc1 0.000 0.000 0.000
Re1 0.250 0.250 0.250
Cd1 0.500 0.500 0.500
Cd2 0.750 0.750 0.750

Summary:
* total magnetization: 0.02 μB per formula unit
* space-group type: F-43m, No. 216
* ΔE_f: 602 meV per atom

Entry 3:
# CdReTe2

Crystalline CdReTe2 at its relaxed geometry (GGA-PBE, OQMD via LeMat-Bulk).

Unit cell a=4.981 b=4.981 c=4.981 alpha=60.00 beta=60.00 gamma=60.00
Fractional coordinates of all 4 atoms:
Te1 0.250 0.250 0.250
Te2 0.000 0.000 0.000
Re1 0.750 0.750 0.750
Cd1 0.500 0.500 0.500

Summary:
* energy: -15.1 eV for the cell shown
* total magnetization: 0.97 μB per formula unit
* space-group type: F-43m, No. 216